# 1
The following is a GGA-PBE calculation of a relaxed structure of AcMnSe3, from the Alexandria database.

Volume   122.1 Å³/cell
Formation energy (no corrections)   -1113 meV per atom
Density of states at the Fermi level   1.22 states/eV/cell
Excess energy over the best structure of this formula in the dataset   116.9 meV/atom

abc: 4.9614 4.9614 4.9614
angles: 90.00 90.00 90.00
Fractional coordinates of all 5 atoms:
Ac 0.0000 0.0000 0.0000
Mn 0.5000 0.5000 0.5000
Se 0.0000 0.5000 0.5000
Se 0.5000 0.0000 0.5000
Se 0.5000 0.5000 0.0000



# 2
The following is a GGA-PBE calculation of a relaxed structure of Ac5MnSe8, from the Alexandria database.

Volume   404.2 Å³/cell
Formation energy (no corrections)   -1725 meV per atom
Density of states at the Fermi level   6.72 states/eV/cell

abc: 8.0694 8.0694 8.0694
angles: 110.37 110.37 107.69
Fractional coordinates of all 14 atoms:
Ac 0.0000 0.0000 0.0000
Ac 0.1329 0.2558 0.6178
Ac 0.4848 0.8671 0.1228
Ac 0.6380 0.5152 0.3822
Ac 0.7442 0.3620 0.8772
Mn 0.2500 0.7500 0.5000
Se 0.0158 0.6130 0.7609
Se 0.2282 0.4888 0.1386
Se 0.3503 0.0897 0.8614
Se 0.3870 0.1480 0.4028
Se 0.5112 0.6497 0.7394
Se 0.7452 0.9842 0.5972
Se 0.8520 0.2548 0.2391
Se 0.9103 0.7718 0.2606



# 3
The following is a GGA-PBE calculation of a relaxed structure of AcMnSe3, from the Alexandria database.

Volume   491.3 Å³/cell
Formation energy (no corrections)   -1230 meV per atom
Density of states at the Fermi level   8.08 states/eV/cell
Excess energy over the best structure of this formula in the dataset   0.0 meV/atom

abc: 8.3584 4.1582 14.1370
angles: 90.00 90.00 90.00
Fractional coordinates of all 20 atoms:
Ac 0.0935 0.2500 0.1706
Ac 0.4064 0.7500 0.6706
Ac 0.5936 0.2500 0.3294
Ac 0.9064 0.7500 0.8294
Mn 0.1583 0.7500 0.4461
Mn 0.3417 0.2500 0.9461
Mn 0.6583 0.7500 0.0539
Mn 0.8417 0.2500 0.5539
Se 0.0177 0.7500 0.6064
Se 0.1576 0.7500 0.0038
Se 0.1952 0.2500 0.7886
Se 0.3048 0.7500 0.2886
Se 0.3424 0.2500 0.5038
Se 0.4823 0.2500 0.1064
Se 0.5177 0.7500 0.8936
Se 0.6576 0.7500 0.4962
Se 0.6952 0.2500 0.7114
Se 0.8048 0.7500 0.2114
Se 0.8424 0.2500 0.9962
Se 0.9823 0.2500 0.3936



# 4
The following is a GGA-PBE calculation of a relaxed structure of Ac2Mn2Se5, from the Alexandria database.

Volume   254.2 Å³/cell
Formation energy (no corrections)   -1222 meV per atom
Density of states at the Fermi level   2.30 states/eV/cell
Excess energy over the best structure of this formula in the dataset   36.8 meV/atom

abc: 7.4870 7.4870 7.6865
angles: 113.18 113.18 40.53
Fractional coordinates of all 9 atoms:
Ac 0.1100 0.1100 0.2827
Ac 0.8900 0.8900 0.7173
Mn 0.3470 0.3470 0.1289
Mn 0.6530 0.6530 0.8711
Se 0.1452 0.1452 0.8991
Se 0.3514 0.3514 0.4653
Se 0.5000 0.5000 0.0000
Se 0.6486 0.6486 0.5347
Se 0.8548 0.8548 0.1009



# 5
The following is a GGA-PBE calculation of a relaxed structure of AcMnSe3, from the Alexandria database.

Volume   260.1 Å³/cell
Formation energy (no corrections)   -1172 meV per atom
Density of states at the Fermi level   3.00 states/eV/cell
Excess energy over the best structure of this formula in the dataset   58.7 meV/atom

abc: 7.5072 4.1746 8.3523
angles: 90.00 96.50 90.00
Fractional coordinates of all 10 atoms:
Ac 0.1497 0.2500 0.2924
Ac 0.8503 0.7500 0.7076
Mn 0.3352 0.7500 0.8555
Mn 0.6648 0.2500 0.1445
Se 0.1245 0.2500 0.9055
Se 0.2294 0.7500 0.5635
Se 0.4270 0.7500 0.1576
Se 0.5730 0.2500 0.8424
Se 0.7706 0.2500 0.4365
Se 0.8755 0.7500 0.0945



# 6
The following is a GGA-PBE calculation of a relaxed structure of Ac3MnSe6, from the Alexandria database.

Volume   647.7 Å³/cell
Formation energy (no corrections)   -1584 meV per atom
Density of states at the Fermi level   11.44 states/eV/cell

abc: 9.5195 9.5195 7.3088
angles: 90.00 90.00 102.08
Fractional coordinates of all 20 atoms:
Ac 0.1062 0.8938 0.5000
Ac 0.2143 0.4172 0.4316
Ac 0.4172 0.2143 0.9316
Ac 0.5828 0.7857 0.4316
Ac 0.7857 0.5828 0.9316
Ac 0.8938 0.1062 0.0000
Mn 0.3055 0.6945 0.8838
Mn 0.6945 0.3055 0.3838
Se 0.0812 0.5979 0.7262
Se 0.1387 0.1807 0.7140
Se 0.1807 0.1387 0.2140
Se 0.2843 0.7157 0.2188
Se 0.4021 0.9188 0.7262
Se 0.4583 0.5417 0.7435
Se 0.5417 0.4583 0.2435
Se 0.5979 0.0812 0.2262
Se 0.7157 0.2843 0.7188
Se 0.8193 0.8613 0.7140
Se 0.8613 0.8193 0.2140
Se 0.9188 0.4021 0.2262



# 7
The following is a GGA-PBE calculation of a relaxed structure of AcMn2Se4, from the Alexandria database.

Volume   373.7 Å³/cell
Formation energy (no corrections)   -954 meV per atom
Density of states at the Fermi level   4.14 states/eV/cell

abc: 8.3315 7.5059 9.6069
angles: 56.68 48.84 74.48
Fractional coordinates of all 14 atoms:
Ac 0.0000 0.0000 0.0000
Ac 0.2500 0.2500 0.2500
Mn 0.2075 0.5999 0.6096
Mn 0.5999 0.2075 0.5830
Mn 0.6404 0.6670 0.0425
Mn 0.6670 0.6404 0.6501
Se 0.0229 0.8664 0.7364
Se 0.3428 0.3671 0.8298
Se 0.3671 0.3428 0.4602
Se 0.4202 0.7898 0.9072
Se 0.5136 0.8757 0.2271
Se 0.7898 0.4202 0.8829
Se 0.8664 0.0229 0.3743
Se 0.8757 0.5136 0.3836



# 8
The following is a GGA-PBE calculation of a relaxed structure of Ac2SmMnSe6, from the Alexandria database.

Volume   562.1 Å³/cell
Formation energy (no corrections)   -1565 meV per atom
Density of states at the Fermi level   4.27 states/eV/cell

abc: 7.0130 7.8657 12.2504
angles: 90.00 123.71 90.00
Fractional coordinates of all 20 atoms:
Ac 0.2068 0.1031 0.2460
Ac 0.2068 0.3969 0.7460
Ac 0.7932 0.6031 0.2540
Ac 0.7932 0.8969 0.7540
Sm 0.5000 0.0000 0.0000
Sm 0.5000 0.5000 0.5000
Mn 0.0000 0.0000 0.5000
Mn 0.0000 0.5000 0.0000
Se 0.1095 0.1915 0.9413
Se 0.1095 0.3085 0.4413
Se 0.2549 0.6724 0.9481
Se 0.2549 0.8276 0.4481
Se 0.3469 0.0248 0.7306
Se 0.3469 0.4752 0.2306
Se 0.6531 0.5248 0.7694
Se 0.6531 0.9752 0.2694
Se 0.7451 0.1724 0.5519
Se 0.7451 0.3276 0.0519
Se 0.8905 0.6915 0.5587
Se 0.8905 0.8085 0.0587



# 9
The following is a GGA-PBE calculation of a relaxed structure of Ac2SmMnSe5, from the Alexandria database.

Volume   492.2 Å³/cell
Formation energy (no corrections)   -1655 meV per atom
Density of states at the Fermi level   6.93 states/eV/cell

abc: 9.1859 9.1859 12.9332
angles: 90.00 90.00 153.19
Fractional coordinates of all 18 atoms:
Ac 0.1221 0.8779 0.5000
Ac 0.1216 0.8784 0.8538
Ac 0.8779 0.1221 0.0000
Ac 0.8784 0.1216 0.3538
Sm 0.1825 0.8175 0.1813
Sm 0.8175 0.1825 0.6813
Mn 0.4467 0.5533 0.5893
Mn 0.5533 0.4467 0.0893
Se 0.0184 0.9816 0.1795
Se 0.3030 0.6970 0.8405
Se 0.3104 0.6896 0.5214
Se 0.3463 0.6537 0.1761
Se 0.4959 0.5041 0.9157
Se 0.5041 0.4959 0.4157
Se 0.6537 0.3463 0.6761
Se 0.6896 0.3104 0.0214
Se 0.6970 0.3030 0.3405
Se 0.9816 0.0184 0.6795



# 10
The following is a GGA-PBE calculation of a relaxed structure of Ac2MnSnSe6, from the Alexandria database.

Volume   546.3 Å³/cell
Formation energy (no corrections)   -1206 meV per atom
Density of states at the Fermi level   8.09 states/eV/cell

abc: 6.9234 7.8217 12.2235
angles: 90.00 124.38 90.00
Fractional coordinates of all 20 atoms:
Ac 0.2076 0.1079 0.2508
Ac 0.2076 0.3921 0.7508
Ac 0.7924 0.6079 0.2492
Ac 0.7924 0.8921 0.7492
Mn 0.5000 0.0000 0.0000
Mn 0.5000 0.5000 0.5000
Sn 0.0000 0.0000 0.5000
Sn 0.0000 0.5000 0.0000
Se 0.1430 0.1728 0.9528
Se 0.1430 0.3272 0.4528
Se 0.2793 0.6892 0.9488
Se 0.2793 0.8108 0.4488
Se 0.3764 0.0178 0.7625
Se 0.3764 0.4822 0.2625
Se 0.6236 0.5178 0.7375
Se 0.6236 0.9822 0.2375
Se 0.7207 0.1892 0.5512
Se 0.7207 0.3108 0.0512
Se 0.8570 0.6728 0.5472
Se 0.8570 0.8272 0.0472



# 11
The following is a GGA-PBE calculation of a relaxed structure of Ac2TbMnSe6, from the Alexandria database.

Volume   554.1 Å³/cell
Formation energy (no corrections)   -1577 meV per atom
Density of states at the Fermi level   4.24 states/eV/cell

abc: 6.9839 7.8307 12.2095
angles: 90.00 123.92 90.00
Fractional coordinates of all 20 atoms:
Ac 0.2078 0.1030 0.2465
Ac 0.2078 0.3970 0.7465
Ac 0.7922 0.6030 0.2535
Ac 0.7922 0.8970 0.7535
Tb 0.5000 0.0000 0.0000
Tb 0.5000 0.5000 0.5000
Mn 0.0000 0.0000 0.5000
Mn 0.0000 0.5000 0.0000
Se 0.1151 0.1902 0.9437
Se 0.1151 0.3098 0.4437
Se 0.2580 0.6746 0.9495
Se 0.2580 0.8254 0.4495
Se 0.3456 0.0216 0.7330
Se 0.3456 0.4784 0.2330
Se 0.6544 0.5216 0.7670
Se 0.6544 0.9784 0.2670
Se 0.7420 0.1746 0.5505
Se 0.7420 0.3254 0.0505
Se 0.8849 0.6902 0.5563
Se 0.8849 0.8098 0.0563



# 12
The following is a GGA-PBE calculation of a relaxed structure of AcTbMnSe4, from the Alexandria database.

Volume   381.2 Å³/cell
Formation energy (no corrections)   -1446 meV per atom
Density of states at the Fermi level   1.24 states/eV/cell

abc: 6.8609 6.9815 8.3304
angles: 90.00 107.18 90.00
Fractional coordinates of all 14 atoms:
Ac 0.2324 0.2500 0.0569
Ac 0.7676 0.7500 0.9431
Tb 0.2241 0.2500 0.5556
Tb 0.7759 0.7500 0.4444
Mn 0.2410 0.7500 0.3197
Mn 0.7590 0.2500 0.6803
Se 0.0177 0.5109 0.7353
Se 0.0177 0.9891 0.7353
Se 0.4419 0.7500 0.1227
Se 0.4600 0.7500 0.6060
Se 0.5400 0.2500 0.3940
Se 0.5581 0.2500 0.8773
Se 0.9823 0.0109 0.2647
Se 0.9823 0.4891 0.2647